# 1
Compound: Ca3U
Source: Alexandria
Functional: GGA-PBE
Structure: relaxed

abc: 5.9607 5.9607 5.9607
angles: 60.00 60.00 60.00
Each line ends with the local moment (μB).
Atoms (fractional coordinates):
Ca: 0.2500 0.2500 0.2500  0.04
Ca: 0.7500 0.7500 0.7500  0.04
Ca: 0.5000 0.5000 0.5000  0.02
U: 0.0000 0.0000 0.0000  3.02

Output
raw total energy	-3.62	eV/atom
DFT formation energy	0.70	eV per atom
space-group type	Fm-3m (225)

=====

# 2
Compound: CaV
Source: Alexandria
Functional: GGA-PBE
Structure: relaxed

abc: 8.9647 8.9647 8.9647
angles: 90.00 90.00 90.00
Atoms (fractional coordinates):
Ca: 0.2138 0.2138 0.2138
Ca: 0.2138 0.7862 0.7862
Ca: 0.7862 0.2138 0.7862
Ca: 0.7862 0.7862 0.2138
Ca: 0.7138 0.7138 0.7138
Ca: 0.7138 0.2862 0.2862
Ca: 0.2862 0.7138 0.2862
Ca: 0.2862 0.2862 0.7138
V: 0.4110 0.4110 0.4110
V: 0.4110 0.5890 0.5890
V: 0.5890 0.4110 0.5890
V: 0.5890 0.5890 0.4110
V: 0.9110 0.9110 0.9110
V: 0.9110 0.0890 0.0890
V: 0.0890 0.9110 0.0890
V: 0.0890 0.0890 0.9110

Output
excess energy over the best structure of this formula in the dataset	0.623	eV per atom
raw total energy	-4.43	eV/atom
DFT formation energy	1.13	eV per atom
space-group type	I-43m (217)

=====

# 3
Compound: CaV
Source: Alexandria
Functional: GGA-PBE
Structure: relaxed

abc: 13.1032 13.1032 3.0457
angles: 90.00 90.00 90.00
Atoms (fractional coordinates):
Ca: 0.4597 0.8088 0.0000
Ca: 0.5403 0.1912 0.0000
Ca: 0.1912 0.4597 0.0000
Ca: 0.8088 0.5403 0.0000
Ca: 0.9597 0.3088 0.5000
Ca: 0.0403 0.6912 0.5000
Ca: 0.6912 0.9597 0.5000
Ca: 0.3088 0.0403 0.5000
V: 0.3138 0.2568 0.0000
V: 0.6862 0.7432 0.0000
V: 0.7432 0.3138 0.0000
V: 0.2568 0.6862 0.0000
V: 0.8138 0.7568 0.5000
V: 0.1862 0.2432 0.5000
V: 0.2432 0.8138 0.5000
V: 0.7568 0.1862 0.5000

Output
excess energy over the best structure of this formula in the dataset	0.510	eV per atom
raw total energy	-4.54	eV/atom
DFT formation energy	1.02	eV per atom
space-group type	I4/m (87)

=====

Which value of raw total energy does entry 2 give? -4.43 eV/atom

=====

What did the second record say?
Compound: CaV
Source: Alexandria
Functional: GGA-PBE
Structure: relaxed

abc: 8.9647 8.9647 8.9647
angles: 90.00 90.00 90.00
Atoms (fractional coordinates):
Ca: 0.2138 0.2138 0.2138
Ca: 0.2138 0.7862 0.7862
Ca: 0.7862 0.2138 0.7862
Ca: 0.7862 0.7862 0.2138
Ca: 0.7138 0.7138 0.7138
Ca: 0.7138 0.2862 0.2862
Ca: 0.2862 0.7138 0.2862
Ca: 0.2862 0.2862 0.7138
V: 0.4110 0.4110 0.4110
V: 0.4110 0.5890 0.5890
V: 0.5890 0.4110 0.5890
V: 0.5890 0.5890 0.4110
V: 0.9110 0.9110 0.9110
V: 0.9110 0.0890 0.0890
V: 0.0890 0.9110 0.0890
V: 0.0890 0.0890 0.9110

Output
excess energy over the best structure of this formula in the dataset	0.623	eV per atom
raw total energy	-4.43	eV/atom
DFT formation energy	1.13	eV per atom
space-group type	I-43m (217)

=====

Among the records above, which one has the highest raw total energy? Ca3U

=====

Among the records above, which one has the highest DFT formation energy? number 2